<w>
# TbEr4Zr | Alexandria | PBE | optimized geometry
# Density   8.42 g cm⁻³
# V   362.7 Å³ per cell
# Space group   C2/c
# N(E_F)   1.67 states/eV per atom
data_TbEr4Zr
_cell_length_a 6.210
_cell_length_b 8.927
_cell_length_c 8.300
_cell_angle_alpha 113.57
_cell_angle_beta 100.12
_cell_angle_gamma 111.64
_symmetry_space_group_name_H-M 'P 1'
_symmetry_Int_Tables_number 1
loop_
_symmetry_equiv_pos_as_xyz
'x,y,z'
loop_
_atom_site_label
_atom_site_fract_x
_atom_site_fract_y
_atom_site_fract_z
Er1 0.228 0.595 0.768
Er2 0.368 0.907 0.625
Er3 0.632 0.093 0.375
Er4 0.040 0.173 0.768
Er5 0.243 0.282 0.375
Er6 0.757 0.718 0.625
Er7 0.772 0.405 0.232
Er8 0.960 0.827 0.232
Zr1 0.753 0.003 0.006
Zr2 0.247 0.997 0.994
Tb1 0.657 0.407 0.815
Tb2 0.343 0.593 0.185

<x>
# TbEr4Zr | Alexandria | PBE | optimized geometry
# Density   8.71 g cm⁻³
# V   175.2 Å³ per cell
# Space group   P-1
# N(E_F)   1.31 states/eV per atom
data_TbEr4Zr
_cell_length_a 3.451
_cell_length_b 9.133
_cell_length_c 7.784
_cell_angle_alpha 126.65
_cell_angle_beta 63.51
_cell_angle_gamma 100.98
_symmetry_space_group_name_H-M 'P 1'
_symmetry_Int_Tables_number 1
loop_
_symmetry_equiv_pos_as_xyz
'x,y,z'
loop_
_atom_site_label
_atom_site_fract_x
_atom_site_fract_y
_atom_site_fract_z
Er1 0.341 0.676 0.997
Er2 0.659 0.324 0.003
Er3 0.180 0.321 0.481
Er4 0.820 0.679 0.520
Tb1 0.500 0.000 0.500
Zr1 0.000 0.000 0.000

What should be chosen as the most stable of them? Choose <x>.

<w>
# Tb6Er12Zr | Alexandria | PBE | optimized geometry
# Density   8.37 g cm⁻³
# V   605.4 Å³ per cell
# Space group   R-3m
# N(E_F)   1.88 states/eV per atom
data_Tb6Er12Zr
_cell_length_a 8.568
_cell_length_b 8.568
_cell_length_c 8.568
_cell_angle_alpha 98.60
_cell_angle_beta 98.60
_cell_angle_gamma 98.60
_symmetry_space_group_name_H-M 'P 1'
_symmetry_Int_Tables_number 1
loop_
_symmetry_equiv_pos_as_xyz
'x,y,z'
loop_
_atom_site_label
_atom_site_fract_x
_atom_site_fract_y
_atom_site_fract_z
Er1 0.244 0.500 0.756
Er2 0.244 0.756 0.500
Er3 0.918 0.649 0.649
Er4 0.351 0.351 0.082
Er5 0.500 0.244 0.756
Er6 0.649 0.918 0.649
Er7 0.756 0.500 0.244
Er8 0.649 0.649 0.918
Er9 0.500 0.756 0.244
Er10 0.082 0.351 0.351
Er11 0.351 0.082 0.351
Er12 0.756 0.244 0.500
Tb1 0.095 0.665 0.095
Tb2 0.905 0.905 0.335
Tb3 0.905 0.335 0.905
Tb4 0.095 0.095 0.665
Tb5 0.335 0.905 0.905
Tb6 0.665 0.095 0.095
Zr1 0.000 0.000 0.000

<x>
# Tb6Er12Zr | Alexandria | PBE | optimized geometry
# Density   8.49 g cm⁻³
# V   597.1 Å³ per cell
# Space group   R-3
# N(E_F)   1.97 states/eV per atom
data_Tb6Er12Zr
_cell_length_a 8.427
_cell_length_b 8.427
_cell_length_c 8.427
_cell_angle_alpha 92.11
_cell_angle_beta 92.11
_cell_angle_gamma 92.11
_symmetry_space_group_name_H-M 'P 1'
_symmetry_Int_Tables_number 1
loop_
_symmetry_equiv_pos_as_xyz
'x,y,z'
loop_
_atom_site_label
_atom_site_fract_x
_atom_site_fract_y
_atom_site_fract_z
Tb1 0.119 0.737 0.273
Tb2 0.263 0.727 0.881
Tb3 0.273 0.119 0.737
Tb4 0.727 0.881 0.263
Tb5 0.737 0.273 0.119
Tb6 0.881 0.263 0.727
Er1 0.366 0.049 0.147
Er2 0.147 0.366 0.049
Er3 0.472 0.536 0.209
Er4 0.209 0.472 0.536
Er5 0.528 0.464 0.791
Er6 0.951 0.853 0.634
Er7 0.791 0.528 0.464
Er8 0.464 0.791 0.528
Er9 0.049 0.147 0.366
Er10 0.853 0.634 0.951
Er11 0.634 0.951 0.853
Er12 0.536 0.209 0.472
Zr1 0.000 0.000 0.000

What should be chosen as the most stable of them? Choose <x>.

<w>
# Er2Tc | Alexandria | PBE | optimized geometry
# Density   10.08 g cm⁻³
# V   284.9 Å³ per cell
# Space group   Pnma
# N(E_F)   0.49 states/eV per atom
data_Er2Tc
_cell_length_a 3.749
_cell_length_b 7.921
_cell_length_c 9.594
_cell_angle_alpha 90.00
_cell_angle_beta 90.00
_cell_angle_gamma 90.00
_symmetry_space_group_name_H-M 'P 1'
_symmetry_Int_Tables_number 1
loop_
_symmetry_equiv_pos_as_xyz
'x,y,z'
loop_
_atom_site_label
_atom_site_fract_x
_atom_site_fract_y
_atom_site_fract_z
Er1 0.750 0.657 0.944
Er2 0.750 0.157 0.556
Er3 0.250 0.503 0.671
Er4 0.750 0.997 0.171
Er5 0.250 0.843 0.444
Er6 0.250 0.003 0.829
Er7 0.250 0.343 0.056
Er8 0.750 0.497 0.329
Tc1 0.750 0.299 0.832
Tc2 0.250 0.701 0.168
Tc3 0.750 0.799 0.668
Tc4 0.250 0.201 0.332

<x>
# Er2Tc | Alexandria | PBE | optimized geometry
# Density   9.89 g cm⁻³
# V   72.6 Å³ per cell
# Space group   Fmmm
# N(E_F)   1.25 states/eV per atom
data_Er2Tc
_cell_length_a 3.439
_cell_length_b 3.439
_cell_length_c 6.609
_cell_angle_alpha 105.15
_cell_angle_beta 105.15
_cell_angle_gamma 90.01
_symmetry_space_group_name_H-M 'P 1'
_symmetry_Int_Tables_number 1
loop_
_symmetry_equiv_pos_as_xyz
'x,y,z'
loop_
_atom_site_label
_atom_site_fract_x
_atom_site_fract_y
_atom_site_fract_z
Er1 0.869 0.869 0.738
Er2 0.131 0.131 0.262
Tc1 0.500 0.500 0.000

What should be chosen as the most stable of them? Choose <x>.

<w>
# Er2TcTe | Alexandria | PBE | optimized geometry
# Density   10.04 g cm⁻³
# V   92.7 Å³ per cell
# Space group   P4/mmm
# N(E_F)   0.86 states/eV per atom
data_Er2TcTe
_cell_length_a 3.669
_cell_length_b 3.669
_cell_length_c 6.885
_cell_angle_alpha 90.00
_cell_angle_beta 90.00
_cell_angle_gamma 90.00
_symmetry_space_group_name_H-M 'P 1'
_symmetry_Int_Tables_number 1
loop_
_symmetry_equiv_pos_as_xyz
'x,y,z'
loop_
_atom_site_label
_atom_site_fract_x
_atom_site_fract_y
_atom_site_fract_z
Er1 0.000 0.000 0.227
Er2 0.000 0.000 0.773
Tc1 0.500 0.500 0.000
Te1 0.500 0.500 0.500

<x>
# Er2TcTe | Alexandria | PBE | optimized geometry
# Density   8.41 g cm⁻³
# V   110.5 Å³ per cell
# Space group   R-3m
# N(E_F)   0.87 states/eV per atom
data_Er2TcTe
_cell_length_a 3.720
_cell_length_b 3.720
_cell_length_c 9.469
_cell_angle_alpha 78.67
_cell_angle_beta 78.67
_cell_angle_gamma 60.00
_symmetry_space_group_name_H-M 'P 1'
_symmetry_Int_Tables_number 1
loop_
_symmetry_equiv_pos_as_xyz
'x,y,z'
loop_
_atom_site_label
_atom_site_fract_x
_atom_site_fract_y
_atom_site_fract_z
Er1 0.911 0.911 0.268
Er2 0.089 0.089 0.732
Tc1 0.000 0.000 0.000
Te1 0.500 0.500 0.500

What should be chosen as the most stable of them? Choose <w>.

<w>
# Er3TcTe | Alexandria | PBE | optimized geometry
# Density   9.20 g cm⁻³
# V   262.5 Å³ per cell
# Space group   C2/m
# N(E_F)   0.72 states/eV per atom
data_Er3TcTe
_cell_length_a 4.298
_cell_length_b 6.367
_cell_length_c 10.447
_cell_angle_alpha 81.85
_cell_angle_beta 78.13
_cell_angle_gamma 70.27
_symmetry_space_group_name_H-M 'P 1'
_symmetry_Int_Tables_number 1
loop_
_symmetry_equiv_pos_as_xyz
'x,y,z'
loop_
_atom_site_label
_atom_site_fract_x
_atom_site_fract_y
_atom_site_fract_z
Tc1 0.455 0.670 0.420
Tc2 0.545 0.330 0.580
Er1 0.465 0.208 0.862
Er2 0.825 0.970 0.380
Er3 0.535 0.792 0.138
Er4 0.175 0.030 0.620
Er5 0.874 0.587 0.666
Er6 0.126 0.413 0.334
Te1 0.173 0.756 0.897
Te2 0.827 0.244 0.103

<x>
# Er3TcTe | Alexandria | PBE | optimized geometry
# Density   8.82 g cm⁻³
# V   273.9 Å³ per cell
# Space group   C2/m
# N(E_F)   0.57 states/eV per atom
data_Er3TcTe
_cell_length_a 4.796
_cell_length_b 7.821
_cell_length_c 8.461
_cell_angle_alpha 113.69
_cell_angle_beta 90.00
_cell_angle_gamma 107.85
_symmetry_space_group_name_H-M 'P 1'
_symmetry_Int_Tables_number 1
loop_
_symmetry_equiv_pos_as_xyz
'x,y,z'
loop_
_atom_site_label
_atom_site_fract_x
_atom_site_fract_y
_atom_site_fract_z
Te1 0.625 0.250 0.470
Te2 0.375 0.750 0.530
Er1 0.394 0.789 0.157
Er2 0.242 0.483 0.745
Er3 0.066 0.133 0.207
Er4 0.758 0.517 0.255
Er5 0.606 0.211 0.843
Er6 0.934 0.867 0.793
Tc1 0.828 0.655 0.991
Tc2 0.172 0.345 0.009

What should be chosen as the most stable of them? Choose <w>.

<w>
# Er4TcTe | Alexandria | PBE | optimized geometry
# Density   9.36 g cm⁻³
# V   635.2 Å³ per cell
# Space group   Pnma
# N(E_F)   0.93 states/eV per atom
data_Er4TcTe
_cell_length_a 4.149
_cell_length_b 7.928
_cell_length_c 19.310
_cell_angle_alpha 90.00
_cell_angle_beta 90.00
_cell_angle_gamma 90.00
_symmetry_space_group_name_H-M 'P 1'
_symmetry_Int_Tables_number 1
loop_
_symmetry_equiv_pos_as_xyz
'x,y,z'
loop_
_atom_site_label
_atom_site_fract_x
_atom_site_fract_y
_atom_site_fract_z
Er1 0.750 0.929 0.208
Er2 0.250 0.998 0.066
Er3 0.750 0.885 0.641
Er4 0.250 0.115 0.359
Er5 0.750 0.002 0.934
Er6 0.250 0.145 0.541
Er7 0.250 0.615 0.141
Er8 0.750 0.429 0.292
Er9 0.250 0.498 0.434
Er10 0.750 0.385 0.859
Er11 0.750 0.502 0.566
Er12 0.250 0.071 0.792
Er13 0.750 0.855 0.459
Er14 0.250 0.645 0.959
Er15 0.250 0.571 0.708
Er16 0.750 0.355 0.041
Te1 0.250 0.236 0.197
Te2 0.250 0.736 0.303
Te3 0.750 0.264 0.697
Te4 0.750 0.764 0.803
Tc1 0.750 0.751 0.059
Tc2 0.750 0.251 0.441
Tc3 0.250 0.249 0.941
Tc4 0.250 0.749 0.559

<x>
# Er4TcTe | Alexandria | PBE | optimized geometry
# Density   7.24 g cm⁻³
# V   410.5 Å³ per cell
# Space group   C2/m
# N(E_F)   0.83 states/eV per atom
data_Er4TcTe
_cell_length_a 5.308
_cell_length_b 10.822
_cell_length_c 9.429
_cell_angle_alpha 127.20
_cell_angle_beta 90.00
_cell_angle_gamma 104.20
_symmetry_space_group_name_H-M 'P 1'
_symmetry_Int_Tables_number 1
loop_
_symmetry_equiv_pos_as_xyz
'x,y,z'
loop_
_atom_site_label
_atom_site_fract_x
_atom_site_fract_y
_atom_site_fract_z
Er1 0.764 0.528 0.330
Er2 0.401 0.802 0.332
Er3 0.985 0.970 0.719
Er4 0.015 0.030 0.281
Er5 0.236 0.472 0.670
Er6 0.200 0.400 0.995
Er7 0.599 0.198 0.668
Er8 0.800 0.600 0.005
Tc1 0.091 0.182 0.628
Tc2 0.909 0.818 0.372
Te1 0.160 0.319 0.259
Te2 0.840 0.681 0.741

What should be chosen as the most stable of them? Choose <w>.

<w>
# ErTh2Tc | Alexandria | PBE | optimized geometry
# Density   10.87 g cm⁻³
# V   445.5 Å³ per cell
# Space group   Pnma
# N(E_F)   1.16 states/eV per atom
data_ErTh2Tc
_cell_length_a 6.272
_cell_length_b 7.300
_cell_length_c 9.730
_cell_angle_alpha 90.00
_cell_angle_beta 90.00
_cell_angle_gamma 90.00
_symmetry_space_group_name_H-M 'P 1'
_symmetry_Int_Tables_number 1
loop_
_symmetry_equiv_pos_as_xyz
'x,y,z'
loop_
_atom_site_label
_atom_site_fract_x
_atom_site_fract_y
_atom_site_fract_z
Er1 0.855 0.041 0.250
Er2 0.145 0.959 0.750
Er3 0.355 0.459 0.750
Er4 0.645 0.541 0.250
Th1 0.669 0.830 0.563
Th2 0.831 0.330 0.563
Th3 0.169 0.670 0.063
Th4 0.831 0.330 0.937
Th5 0.669 0.830 0.937
Th6 0.169 0.670 0.437
Th7 0.331 0.170 0.437
Th8 0.331 0.170 0.063
Tc1 0.590 0.115 0.750
Tc2 0.910 0.615 0.750
Tc3 0.410 0.885 0.250
Tc4 0.090 0.385 0.250

<x>
# ErTh2Tc | Alexandria | PBE | optimized geometry
# Density   11.21 g cm⁻³
# V   108.1 Å³ per cell
# Space group   P4/mmm
# N(E_F)   1.63 states/eV per atom
data_ErTh2Tc
_cell_length_a 3.546
_cell_length_b 3.546
_cell_length_c 8.597
_cell_angle_alpha 90.00
_cell_angle_beta 90.00
_cell_angle_gamma 90.00
_symmetry_space_group_name_H-M 'P 1'
_symmetry_Int_Tables_number 1
loop_
_symmetry_equiv_pos_as_xyz
'x,y,z'
loop_
_atom_site_label
_atom_site_fract_x
_atom_site_fract_y
_atom_site_fract_z
Er1 0.500 0.500 0.500
Th1 0.000 0.000 0.793
Th2 0.000 0.000 0.207
Tc1 0.500 0.500 0.000

What should be chosen as the most stable of them? Choose <w>.

<w>
# Er3TlTc | Alexandria | PBE | optimized geometry
# Density   10.40 g cm⁻³
# V   256.8 Å³ per cell
# Space group   Fmmm
# N(E_F)   0.85 states/eV per atom
data_Er3TlTc
_cell_length_a 5.839
_cell_length_b 5.839
_cell_length_c 8.735
_cell_angle_alpha 102.23
_cell_angle_beta 102.23
_cell_angle_gamma 111.49
_symmetry_space_group_name_H-M 'P 1'
_symmetry_Int_Tables_number 1
loop_
_symmetry_equiv_pos_as_xyz
'x,y,z'
loop_
_atom_site_label
_atom_site_fract_x
_atom_site_fract_y
_atom_site_fract_z
Tl1 0.716 0.216 0.500
Tl2 0.284 0.784 0.500
Er1 0.698 0.575 0.273
Er2 0.700 0.200 0.901
Er3 0.075 0.198 0.273
Er4 0.300 0.800 0.099
Er5 0.925 0.802 0.727
Er6 0.302 0.425 0.727
Tc1 0.750 0.750 0.000
Tc2 0.250 0.250 0.000

<x>
# Er3TlTc | Alexandria | PBE | optimized geometry
# Density   10.20 g cm⁻³
# V   261.8 Å³ per cell
# Space group   C2/m
# N(E_F)   0.70 states/eV per atom
data_Er3TlTc
_cell_length_a 5.273
_cell_length_b 6.899
_cell_length_c 8.551
_cell_angle_alpha 112.43
_cell_angle_beta 90.00
_cell_angle_gamma 112.47
_symmetry_space_group_name_H-M 'P 1'
_symmetry_Int_Tables_number 1
loop_
_symmetry_equiv_pos_as_xyz
'x,y,z'
loop_
_atom_site_label
_atom_site_fract_x
_atom_site_fract_y
_atom_site_fract_z
Er1 0.924 0.848 0.770
Er2 0.076 0.152 0.230
Er3 0.588 0.175 0.880
Er4 0.787 0.573 0.273
Er5 0.213 0.427 0.727
Er6 0.412 0.825 0.120
Tl1 0.628 0.255 0.497
Tl2 0.372 0.745 0.503
Tc1 0.819 0.638 0.980
Tc2 0.181 0.362 0.020

What should be chosen as the most stable of them? Choose <w>.